(1)
The following is a DFT calculation (PBE) of CdAu2Cl after structural relaxation.

```
4
Lattice="3.766 0.000 0.000 0.000 4.010 -0.532 0.000 -2.980 7.349" Properties=species:S:1:pos:R:3 pbc="T T T"
Cl 1.883 1.200 4.821
Au 0.000 2.706 0.826
Au 1.883 0.683 0.962
Cd 0.000 0.965 3.085
```

Output
Offset from the most stable computed form in meV/atom: 0
Uncorrected energy in eV per atom: -2.587
Symmetry: Pm, No. 6


(2)
The following is a DFT calculation (PBE) of TcNiP2Se after structural relaxation.

```
10
Lattice="7.199 0.000 -0.004 0.000 3.059 0.000 -3.110 0.000 7.658" Properties=species:S:1:pos:R:3 pbc="T T T"
Ni -1.577 0.000 4.231
Ni -0.022 1.530 0.402
P 4.420 0.000 6.297
P 5.975 1.530 2.468
P 3.806 1.530 4.060
P 5.361 0.000 0.231
Tc 3.969 0.000 2.203
Tc 2.414 1.530 6.032
Se 0.623 0.000 5.149
Se 2.178 1.530 1.320
```

Output
Offset from the most stable computed form in meV/atom: 66
Uncorrected energy in eV per atom: -6.315
Symmetry: Cm, No. 8


(3)
The following is a DFT calculation (PBE) of KCrNi2Cl8 after structural relaxation.

```
12
Lattice="-5.132 -2.780 2.003 -0.095 -6.122 0.767 1.106 -1.914 9.682" Properties=species:S:1:pos:R:3 pbc="T T T"
Cl -3.170 -3.703 2.943
Cl -0.951 -7.112 9.509
Cl -3.650 -8.318 7.619
Cl -1.285 -6.779 2.701
Cl -2.835 -4.036 9.751
Cl 0.600 -3.967 8.626
Cl -0.471 -2.497 4.833
Cl -4.720 -6.848 3.826
Ni -2.979 -8.070 9.681
Ni -1.141 -2.745 2.771
K -2.060 -5.408 6.226
Cr 0.000 0.000 0.000
```

Output
Uncorrected energy in eV per atom: -3.966
Symmetry: R-3, No. 148


(4)
The following is a DFT calculation (PBE) of Rb3Tb2PrS6 after structural relaxation.

```
12
Lattice="-5.105 -2.935 4.129 4.960 -4.182 -3.104 4.587 3.170 5.837" Properties=species:S:1:pos:R:3 pbc="T T T"
S 3.656 0.579 4.987
S 1.861 -2.670 6.722
S 0.786 -4.526 1.874
S -0.865 -0.850 2.615
S 2.581 -1.277 0.139
S 5.307 -3.097 4.246
Pr 0.000 0.000 0.000
Rb 2.221 -1.974 3.430
Rb 5.586 -2.390 1.012
Rb -1.145 -1.557 5.849
Tb 1.606 -3.767 -0.694
Tb -1.751 -3.351 1.718
```

Output
Uncorrected energy in eV per atom: -5.315
Symmetry: C2/m, No. 12


(5)
The following is a DFT calculation (PBE) of Li5TcN4 after structural relaxation.

```
10
Lattice="-2.097 -1.050 1.877 2.576 -4.703 0.248 2.112 5.967 3.294" Properties=species:S:1:pos:R:3 pbc="T T T"
N 1.013 -0.775 0.699
N 0.768 3.886 3.032
N 1.822 -3.671 2.387
N 1.577 0.990 4.720
Tc -1.049 -0.525 0.938
Li 0.239 -2.876 1.063
Li 1.465 -0.613 3.698
Li 1.125 0.828 1.721
Li 2.419 -1.860 1.664
Li 0.171 2.075 3.755
```

Output
Uncorrected energy in eV per atom: -5.492
Symmetry: C2/m, No. 12


(6)
The following is a DFT calculation (PBE) of BaLaSN2 after structural relaxation.

```
5
Lattice="-2.983 -2.949 1.679 2.760 -0.806 3.486 -2.577 4.339 3.043" Properties=species:S:1:pos:R:3 pbc="T T T"
Ba 0.000 0.000 0.000
N 1.380 -0.403 1.743
N -1.492 -1.475 0.840
La -1.400 0.292 4.104
S -1.288 2.169 1.522
```

Output
Offset from the most stable computed form in meV/atom: 764
Uncorrected energy in eV per atom: -5.120
Symmetry: P4/mmm, No. 123


(7)
The following is a DFT calculation (PBE) of Ca2CoOs after structural relaxation.

```
4
Lattice="0.000 3.436 3.436 3.436 0.000 3.436 3.436 3.436 0.000" Properties=species:S:1:pos:R:3 pbc="T T T"
Os 3.436 3.436 3.436
Co 0.000 0.000 0.000
Ca 5.154 5.154 5.154
Ca 1.718 1.718 1.718
```

Output
Offset from the most stable computed form in meV/atom: 585
Uncorrected energy in eV per atom: -4.868
Symmetry: Fm-3m, No. 225


(8)
The following is a DFT calculation (PBE) of SmH7Rh4 after structural relaxation.

```
24
Lattice="4.643 0.000 0.000 0.000 5.425 0.000 0.000 0.000 9.192" Properties=species:S:1:pos:R:3 pbc="T T T"
H 2.581 1.727 8.242
H 4.084 0.491 5.806
H 4.324 3.142 1.654
H 4.324 3.142 7.538
H 0.822 1.427 4.596
H 2.002 2.284 6.250
H 1.763 4.935 1.210
H 3.144 3.999 0.000
H 0.259 3.699 5.546
H 2.581 1.727 0.950
H 1.763 4.935 7.982
H 0.259 3.699 3.646
H 4.084 0.491 3.386
H 2.002 2.284 2.942
Sm 2.537 3.949 4.596
Sm 0.215 1.477 0.000
Rh 2.559 0.614 6.801
Rh 0.223 2.101 3.104
Rh 0.223 2.101 6.088
Rh 0.238 4.811 6.987
Rh 2.544 3.324 7.700
Rh 2.544 3.324 1.492
Rh 0.238 4.811 2.205
Rh 2.559 0.614 2.391
```

Output
Uncorrected energy in eV per atom: -4.990
Symmetry: Pmn2_1, No. 31


| no. | total moment (μB per cell) |
| --- | --- |
| 1 | 0.000 |
| 2 | 0.000 |
| 3 | 1.000 |
| 4 | 0.000 |
| 5 | 0.000 |
| 6 | 0.995 |
| 7 | 2.054 |
| 8 | 0.000 |